DFT (PBE) results for crystalline Cd2ReW at its relaxed geometry.

## Properties
DFT formation energy: 0.713 eV per atom
Energy relative to the lowest polymorph listed for this composition: 1.39 eV/f.u.
DOS(E_F): 5.52 states/eV/f.u.

Unit cell a=2.8697 b=2.8697 c=29.5193 alpha=90.00 beta=90.00 gamma=120.00
Space group R-3m (No. 166, hexagonal axes)
Unique sites:
Cd 0.0000 0.0000 0.2490 x6
Re 0.0000 0.0000 0.5000 x3
W 0.0000 0.0000 0.0000 x3

---

DFT (PBE) results for crystalline Li2Ge2Os at its relaxed geometry.

## Properties
DFT formation energy: -0.007 eV per atom
Energy relative to the lowest polymorph listed for this composition: 0.30 eV/f.u.
DOS(E_F): 2.25 states/eV/f.u.

Unit cell a=10.224 b=5.759 c=5.920 alpha=90.00 beta=90.00 gamma=90.00
Space group Pbcm (No. 57)
Unique sites:
Li 0.037 0.250 0.000 x4
Li 0.308 0.250 0.000 x4
Ge 0.174 0.599 0.250 x4
Ge 0.494 0.502 0.750 x4
Os 0.360 0.750 0.000 x4

---

DFT (PBE) results for crystalline LiPmY at its relaxed geometry.

## Properties
DFT formation energy: 0.107 eV per atom
Energy relative to the lowest polymorph listed for this composition: 0.13 eV/f.u.
DOS(E_F): 3.47 states/eV/f.u.

Unit cell a=3.5335 b=3.5335 c=8.3877 alpha=90.00 beta=90.00 gamma=120.00
Space group P3m1 (No. 156)
Unique sites:
Li 0.0000 0.0000 0.0000 x1
Pm 0.6667 0.3333 0.3325 x1
Y 0.3333 0.6667 0.6756 x1

---

DFT (PBE) results for crystalline CaSm2In2 at its relaxed geometry.

## Properties
DFT formation energy: -0.389 eV per atom
Energy relative to the lowest polymorph listed for this composition: 0.09 eV/f.u.
DOS(E_F): 7.25 states/eV/f.u.

Unit cell a=8.660 b=8.660 c=4.122 alpha=90.00 beta=90.00 gamma=90.00
Space group P4/mbm (No. 127)
Unique sites:
Ca 0.000 0.000 0.000 x2
Sm 0.173 0.327 0.500 x4
In 0.126 0.626 0.000 x4

---

DFT (PBE) results for crystalline LiOsRh at its relaxed geometry.

## Properties
DFT formation energy: 0.171 eV per atom
Energy relative to the lowest polymorph listed for this composition: 0.54 eV/f.u.
DOS(E_F): 2.04 states/eV/f.u.

Unit cell a=2.767 b=2.767 c=10.414 alpha=90.00 beta=90.00 gamma=90.00
Space group I4mm (No. 107)
Unique sites:
Li 0.000 0.000 0.000 x2
Os 0.000 0.000 0.671 x2
Rh 0.000 0.000 0.338 x2

---

DFT (PBE) results for crystalline KCd5Au3 at its relaxed geometry.

## Properties
DFT formation energy: -0.187 eV per atom
DOS(E_F): 2.53 states/eV/f.u.

Unit cell a=4.429 b=15.101 c=13.809 alpha=90.00 beta=90.00 gamma=90.00
Space group Cmcm (No. 63)
Unique sites:
K 0.000 0.172 0.250 x4
Cd 0.000 0.000 0.000 x4
Cd 0.000 0.198 0.559 x8
Cd 0.000 0.451 0.146 x8
Au 0.000 0.125 0.750 x4
Au 0.000 0.382 0.550 x8

---

DFT (PBE) results for crystalline HfGeBr2 at its relaxed geometry.

## Properties
Energy relative to the lowest polymorph listed for this composition: 2.07 eV/f.u.
DOS(E_F): 3.02 states/eV/f.u.
Uncorrected formation energy: 0.122 eV/atom

Unit cell a=6.921 b=6.921 c=6.921 alpha=90.00 beta=90.00 gamma=90.00
Space group Fm-3m (No. 225)
Unique sites:
Hf 0.000 0.000 0.000 x4
Ge 0.000 0.000 0.500 x4
Br 0.250 0.250 0.250 x8

---

DFT (PBE) results for crystalline CsTcBi2As at its relaxed geometry.

## Properties
DFT formation energy: 2.238 eV per atom
DOS(E_F): 5.76 states/eV/f.u.

Unit cell a=6.197 b=6.197 c=5.635 alpha=90.00 beta=90.00 gamma=90.00
Space group P4/mmm (No. 123)
Unique sites:
Cs 0.000 0.000 0.000 x1
Tc 0.500 0.500 0.500 x1
Bi 0.000 0.500 0.000 x2
As 0.000 0.000 0.500 x1

---

DFT (PBE) results for crystalline SbP2SCl at its relaxed geometry.

## Properties
Energy relative to the lowest polymorph listed for this composition: 1.87 eV/f.u.
DOS(E_F): 4.28 states/eV/f.u.
Uncorrected formation energy: 1.048 eV/atom

Unit cell a=5.243 b=5.243 c=4.930 alpha=90.00 beta=90.00 gamma=90.00
Space group P4/mmm (No. 123)
Unique sites:
Sb 0.000 0.000 0.000 x1
P 0.000 0.500 0.000 x2
S 0.000 0.000 0.500 x1
Cl 0.500 0.500 0.500 x1

---

DFT (PBE) results for crystalline TlAsRh at its relaxed geometry.

## Properties
DFT formation energy: 0.028 eV per atom
Energy relative to the lowest polymorph listed for this composition: 0.96 eV/f.u.
DOS(E_F): 2.16 states/eV/f.u.

Unit cell a=6.319 b=6.319 c=6.319 alpha=90.00 beta=90.00 gamma=90.00
Space group F-43m (No. 216)
Unique sites:
Tl 0.000 0.000 0.000 x4
As 0.000 0.000 0.500 x4
Rh 0.250 0.250 0.250 x4

---

DFT (PBE) results for crystalline Cd2PbW at its relaxed geometry.

## Properties
DFT formation energy: 0.768 eV per atom
DOS(E_F): 2.92 states/eV/f.u.

Unit cell a=4.108 b=4.108 c=9.950 alpha=90.00 beta=90.00 gamma=90.00
Space group I4/mmm (No. 139)
Unique sites:
Cd 0.000 0.500 0.250 x4
Pb 0.000 0.000 0.000 x2
W 0.000 0.000 0.500 x2

---

DFT (PBE) results for crystalline Li2Ac3Mg4 at its relaxed geometry.

## Properties
DFT formation energy: -0.020 eV per atom
DOS(E_F): 7.71 states/eV/f.u.

Unit cell a=11.918 b=5.407 c=10.080 alpha=90.00 beta=120.85 gamma=90.00
Space group C2/m (No. 12)
Unique sites:
Li 0.103 0.000 0.270 x4
Ac 0.000 0.500 0.000 x2
Ac 0.170 0.000 0.664 x4
Mg 0.046 0.500 0.379 x4
Mg 0.223 0.000 0.057 x4

---

DFT (PBE) results for crystalline Nd2HgGeO6 at its relaxed geometry.

## Properties
Uncorrected formation energy: -2.116 eV/atom

Unit cell a=5.413 b=5.413 c=5.191 alpha=90.00 beta=90.00 gamma=90.00
Space group P4mm (No. 99)
Unique sites:
Nd 0.000 0.500 0.000 x2
Hg 0.000 0.000 0.517 x1
Ge 0.500 0.500 0.607 x1
O 0.000 0.000 0.109 x1
O 0.270 0.270 0.739 x4
O 0.500 0.500 0.260 x1

---

DFT (PBE) results for crystalline Dy4AgPd2 at its relaxed geometry.

## Properties
DFT formation energy: -0.560 eV per atom
Energy relative to the lowest polymorph listed for this composition: 0.00 eV/f.u.
DOS(E_F): 6.49 states/eV/f.u.

Unit cell a=8.493 b=14.520 c=7.021 alpha=90.00 beta=126.46 gamma=90.00
Space group Cc (No. 9)
Unique sites:
Dy 0.000 0.022 0.000 x4
Dy 0.223 0.320 0.647 x4
Dy 0.421 0.240 0.329 x4
Dy 0.469 0.033 0.643 x4
Ag 0.247 0.133 0.839 x4
Pd 0.125 0.160 0.348 x4
Pd 0.230 0.406 0.035 x4

---

DFT (PBE) results for crystalline BaAl2Pt at its relaxed geometry.

## Properties
DFT formation energy: -0.332 eV per atom
DOS(E_F): 2.24 states/eV/f.u.

Unit cell a=4.092 b=6.238 c=8.354 alpha=90.00 beta=90.00 gamma=90.00
Space group Immm (No. 71)
Unique sites:
Ba 0.000 0.000 0.000 x2
Al 0.000 0.500 0.170 x4
Pt 0.000 0.000 0.500 x2

---

DFT (PBE) results for crystalline Zn2GaTeRh at its relaxed geometry.

## Properties
DOS(E_F): 5.01 states/eV/f.u.
Uncorrected formation energy: 1.151 eV/atom

Unit cell a=5.035 b=5.035 c=5.342 alpha=90.00 beta=90.00 gamma=90.00
Space group P4/mmm (No. 123)
Unique sites:
Zn 0.000 0.500 0.000 x2
Ga 0.000 0.000 0.500 x1
Te 0.000 0.000 0.000 x1
Rh 0.500 0.500 0.500 x1

---

DFT (PBE) results for crystalline Er2TmSe4 at its relaxed geometry.

## Properties
Energy relative to the lowest polymorph listed for this composition: 0.07 eV/f.u.
DOS(E_F): 2.42 states/eV/f.u.
Uncorrected formation energy: -1.795 eV/atom

Unit cell a=3.918 b=13.310 c=13.691 alpha=90.00 beta=90.00 gamma=90.00
Space group Cmcm (No. 63)
Unique sites:
Er 0.000 0.130 0.070 x8
Tm 0.000 0.372 0.250 x4
Se 0.000 0.027 0.250 x4
Se 0.000 0.222 0.623 x8
Se 0.000 0.500 0.000 x4

---

DFT (PBE) results for crystalline Ac2SbN at its relaxed geometry.

## Properties
Energy relative to the lowest polymorph listed for this composition: 2.18 eV/f.u.
DOS(E_F): 1.65 states/eV/f.u.
Uncorrected formation energy: -0.531 eV/atom

Unit cell a=3.503 b=3.503 c=8.081 alpha=90.00 beta=90.00 gamma=90.00
Space group P4/mmm (No. 123)
Unique sites:
Ac 0.000 0.000 0.199 x2
Sb 0.500 0.500 0.500 x1
N 0.500 0.500 0.000 x1

---

DFT (PBE) results for crystalline UAgP2 at its relaxed geometry.

## Properties
DFT formation energy: -0.367 eV per atom
DOS(E_F): 5.62 states/eV/f.u.

Unit cell a=4.1178 b=4.1178 c=16.1101 alpha=90.00 beta=90.00 gamma=120.00
Space group R-3m (No. 166, hexagonal axes)
Unique sites:
U 0.0000 0.0000 0.0000 x3
Ag 0.0000 0.0000 0.5000 x3
P 0.0000 0.0000 0.2540 x6

---

DFT (PBE) results for crystalline BaGa3Ge at its relaxed geometry.

## Properties
DFT formation energy: -0.401 eV per atom
Energy relative to the lowest polymorph listed for this composition: 0.00 eV/f.u.
DOS(E_F): 1.56 states/eV/f.u.

Unit cell a=4.618 b=4.874 c=10.453 alpha=90.00 beta=90.00 gamma=90.00
Space group Imm2 (No. 44)
Unique sites:
Ba 0.000 0.000 0.000 x2
Ga 0.000 0.000 0.630 x2
Ga 0.000 0.500 0.256 x2
Ga 0.000 0.500 0.745 x2
Ge 0.000 0.000 0.379 x2